1.
# Pb9Br10O4

A geometry-optimized Pb9Br10O4 structure (PBE, Alexandria via LeMat-Bulk).

a b c (Å): 8.664 12.573 12.573
angles (deg): 90.00 90.00 90.00
Positions (direct):
O  0.624  0.544  0.610
Br  0.128  0.292  0.124
Pb  0.193  0.261  0.576
Pb  0.193  0.924  0.761
Pb  0.197  0.500  0.000
Br  0.872  0.876  0.292
Br  0.000  0.500  0.500
Pb  0.357  0.862  0.052
O  0.624  0.456  0.390
Pb  0.803  0.000  0.500
Pb  0.193  0.739  0.424
Br  0.595  0.622  0.189
Br  0.872  0.124  0.708
Br  0.595  0.311  0.122
Pb  0.807  0.761  0.076
Pb  0.357  0.552  0.638
O  0.376  0.044  0.110
Br  0.000  0.000  0.000
Br  0.405  0.811  0.622
Pb  0.193  0.076  0.239
Pb  0.643  0.362  0.552
Pb  0.643  0.052  0.138
Pb  0.357  0.448  0.362
O  0.376  0.956  0.890
Br  0.872  0.792  0.624
Br  0.405  0.878  0.311
Pb  0.643  0.638  0.448
Br  0.878  0.500  0.000
Pb  0.807  0.424  0.261
Br  0.122  0.000  0.500
Pb  0.807  0.239  0.924
O  0.624  0.890  0.044
O  0.624  0.110  0.956
Br  0.405  0.189  0.378
Pb  0.807  0.576  0.739
Br  0.872  0.208  0.376
Br  0.128  0.708  0.876
Br  0.595  0.689  0.878
Pb  0.357  0.138  0.948
O  0.376  0.390  0.544
Pb  0.643  0.948  0.862
O  0.376  0.610  0.456
Br  0.128  0.376  0.792
Br  0.405  0.122  0.689
Br  0.128  0.624  0.208
Br  0.595  0.378  0.811

Output
* E_form (uncorrected): -1021 meV per atom
* SG: No. 85

---

2.
# ScGaPdRh

A geometry-optimized ScGaPdRh structure (PBE, Alexandria via LeMat-Bulk).

a b c (Å): 4.466 4.466 4.466
angles (deg): 60.00 60.00 60.00
Positions (direct):
Pd  0.500  0.500  0.500
Sc  0.750  0.750  0.750
Rh  0.000  0.000  0.000
Ga  0.250  0.250  0.250

Output
* SG: No. 216
* calculated formation energy: -3.5 eV/f.u.
* relative energy among the computed polymorphs: 19 meV per atom

---

3.
# KCo2RuCl8

A geometry-optimized KCo2RuCl8 structure (PBE, Alexandria via LeMat-Bulk).

a b c (Å): 6.274 6.274 10.585
angles (deg): 72.76 72.76 60.00
Site moments in Bohr magnetons follow the coordinates.
Positions (direct):
Cl  0.316  0.316  0.053  0.13
Cl  0.274  0.861  0.343  0.07
Co  0.757  0.757  0.728  2.22
Cl  0.684  0.684  0.947  0.13
Ru  0.500  0.500  0.500  -0.53
Co  0.243  0.243  0.272  2.22
K  0.000  0.000  0.000  0.00
Cl  0.523  0.274  0.343  0.07
Cl  0.861  0.523  0.343  0.07
Cl  0.139  0.726  0.657  0.07
Cl  0.726  0.477  0.657  0.07
Cl  0.477  0.139  0.657  0.07

Output
* E_form (uncorrected): -645 meV per atom
* SG: No. 155

---

Respective volume values: 685, 63, 339 Å³/f.u..